# PBE PrCu2Au, optimized geometry
data_PrCu2Au
_space_group_name_H-M_alt 'R -3 m'
_space_group_IT_number 166
_space_group_name_Hall '-R 3 2"'
_cell_length_a 4.4581
_cell_length_b 4.4581
_cell_length_c 13.8624
_cell_angle_alpha 90.00
_cell_angle_beta 90.00
_cell_angle_gamma 120.00
loop_
_atom_site_label
_atom_site_fract_x
_atom_site_fract_y
_atom_site_fract_z
_atom_site_occupancy
Pr1 0.0000 0.0000 0.0000 1
Cu1 0.0000 0.0000 0.2096 1
Au1 0.0000 0.0000 0.5000 1
# Crystal system ... trigonal



# PBE PrCu4Au4, optimized geometry
data_PrCu4Au4
_space_group_name_H-M_alt 'P 42/n'
_space_group_IT_number 86
_cell_length_a 8.3263
_cell_length_b 8.3263
_cell_length_c 4.7259
_cell_angle_alpha 90.00
_cell_angle_beta 90.00
_cell_angle_gamma 90.00
loop_
_space_group_symop_operation_xyz
'x,y,z'
'-x,-y,-z'
'-y,x+1/2,z+1/2'
'y,-x+1/2,-z+1/2'
'-x+1/2,-y+1/2,z'
'x+1/2,y+1/2,-z'
'y+1/2,-x,z+1/2'
'-y+1/2,x,-z+1/2'
loop_
_atom_site_label
_atom_site_fract_x
_atom_site_fract_y
_atom_site_fract_z
_atom_site_occupancy
Pr1 0.2500 0.2500 0.2500 1
Cu1 0.0432 0.1424 0.7488 1
Au1 0.1088 0.8418 0.7513 1
# Crystal system ... tetragonal



# PBE Pr6CuAu2, optimized geometry
data_Pr6CuAu2
_space_group_name_H-M_alt 'P 1 21/c 1'
_space_group_IT_number 14
_cell_length_a 6.5842
_cell_length_b 7.9072
_cell_length_c 12.1940
_cell_angle_alpha 90.00
_cell_angle_beta 120.24
_cell_angle_gamma 90.00
loop_
_space_group_symop_operation_xyz
'x,y,z'
'-x,-y,-z'
'-x,y+1/2,-z+1/2'
'x,-y+1/2,z+1/2'
loop_
_atom_site_label
_atom_site_fract_x
_atom_site_fract_y
_atom_site_fract_z
_atom_site_occupancy
Pr1 0.0899 0.2072 0.4352 1
Pr2 0.2854 0.6623 0.4434 1
Pr3 0.3923 0.0471 0.2408 1
Cu1 0.5000 0.0000 0.5000 1
Au1 0.1509 0.1088 0.7283 1
# Crystal system ... monoclinic



# PBE Pr4CuAu3, optimized geometry
data_Pr4CuAu3
_space_group_name_H-M_alt 'P m m 2'
_space_group_IT_number 25
_cell_length_a 3.9984
_cell_length_b 4.7558
_cell_length_c 11.2014
_cell_angle_alpha 90.00
_cell_angle_beta 90.00
_cell_angle_gamma 90.00
loop_
_space_group_symop_operation_xyz
'x,y,z'
'-x,-y,z'
'-x,y,z'
'x,-y,z'
loop_
_atom_site_label
_atom_site_fract_x
_atom_site_fract_y
_atom_site_fract_z
_atom_site_occupancy
Pr1 0.0000 0.0000 0.0000 1
Pr2 0.0000 0.5000 0.2697 1
Pr3 0.5000 0.0000 0.4912 1
Pr4 0.5000 0.5000 0.7717 1
Cu1 0.5000 0.0000 0.2107 1
Au1 0.0000 0.0000 0.7191 1
Au2 0.0000 0.5000 0.5483 1
Au3 0.5000 0.5000 0.0569 1
# Crystal system ... orthorhombic



# PBE Pr8CuAu2, optimized geometry
data_Pr8CuAu2
_space_group_name_H-M_alt 'C 1 2/m 1'
_space_group_IT_number 12
_cell_length_a 18.9239
_cell_length_b 5.2686
_cell_length_c 7.0392
_cell_angle_alpha 90.00
_cell_angle_beta 108.40
_cell_angle_gamma 90.00
loop_
_space_group_symop_operation_xyz
'x,y,z'
'-x,-y,-z'
'-x,y,-z'
'x,-y,z'
'x+1/2,y+1/2,z'
'-x+1/2,-y+1/2,-z'
'-x+1/2,y+1/2,-z'
'x+1/2,-y+1/2,z'
loop_
_atom_site_label
_atom_site_fract_x
_atom_site_fract_y
_atom_site_fract_z
_atom_site_occupancy
Pr1 0.0226 0.0000 0.2855 1
Pr2 0.0904 0.5000 0.9644 1
Pr3 0.1673 0.5000 0.4987 1
Pr4 0.2015 0.0000 0.8387 1
Cu1 0.0000 0.5000 0.5000 1
Au1 0.1737 0.0000 0.2390 1
# Crystal system ... monoclinic



# PBE Pr7Cu2Au2, optimized geometry
data_Pr7Cu2Au2
_space_group_name_H-M_alt 'C m m m'
_space_group_IT_number 65
_space_group_name_Hall '-C 2 2'
_cell_length_a 7.8727
_cell_length_b 11.3285
_cell_length_c 7.3562
_cell_angle_alpha 90.00
_cell_angle_beta 90.00
_cell_angle_gamma 90.00
loop_
_atom_site_label
_atom_site_fract_x
_atom_site_fract_y
_atom_site_fract_z
_atom_site_occupancy
Pr1 0.0000 0.0000 0.0000 1
Pr2 0.0000 0.5000 0.2541 1
Pr3 0.2500 0.2500 0.2723 1
Cu1 0.0000 0.2930 0.0000 1
Au1 0.1788 0.0000 0.5000 1
# Crystal system ... orthorhombic



# PBE Pr3Cu2Au3, optimized geometry
data_Pr3Cu2Au3
_space_group_name_H-M_alt 'C m c m'
_space_group_IT_number 63
_space_group_name_Hall '-C 2c 2'
_cell_length_a 4.4548
_cell_length_b 10.6891
_cell_length_c 15.5857
_cell_angle_alpha 90.00
_cell_angle_beta 90.00
_cell_angle_gamma 90.00
loop_
_atom_site_label
_atom_site_fract_x
_atom_site_fract_y
_atom_site_fract_z
_atom_site_occupancy
Pr1 0.0000 0.0878 0.1005 1
Pr2 0.0000 0.3606 0.2500 1
Cu1 0.0000 0.2101 0.6075 1
Au1 0.0000 0.3520 0.7500 1
Au2 0.0000 0.3806 0.0447 1
# Crystal system ... orthorhombic



# PBE PrCu2Au6, optimized geometry
data_PrCu2Au6
_space_group_name_H-M_alt 'P 6/m m m'
_space_group_IT_number 191
_space_group_name_Hall '-P 6 2'
_cell_length_a 5.5964
_cell_length_b 5.5964
_cell_length_c 7.2832
_cell_angle_alpha 90.00
_cell_angle_beta 90.00
_cell_angle_gamma 120.00
loop_
_atom_site_label
_atom_site_fract_x
_atom_site_fract_y
_atom_site_fract_z
_atom_site_occupancy
Pr1 0.0000 0.0000 0.0000 1
Cu1 0.3333 0.6667 0.5000 1
Au1 0.0000 0.5000 0.2131 1
# Crystal system ... hexagonal



# PBE Pr2Cu9Au, optimized geometry
data_Pr2Cu9Au
_space_group_name_H-M_alt 'R -3 m'
_space_group_IT_number 166
_space_group_name_Hall '-R 3 2"'
_cell_length_a 5.1696
_cell_length_b 5.1696
_cell_length_c 24.8749
_cell_angle_alpha 90.00
_cell_angle_beta 90.00
_cell_angle_gamma 120.00
loop_
_atom_site_label
_atom_site_fract_x
_atom_site_fract_y
_atom_site_fract_z
_atom_site_occupancy
Pr1 0.0000 0.0000 0.1324 1
Cu1 0.0000 0.0000 0.3328 1
Cu2 0.0000 0.0000 0.5000 1
Cu3 0.0007 0.5004 0.9209 1
Au1 0.0000 0.0000 0.0000 1
# Crystal system ... trigonal



# PBE PrCu2Au, optimized geometry
data_PrCu2Au
_space_group_name_H-M_alt 'F m -3 m'
_space_group_IT_number 225
_space_group_name_Hall '-F 4 2 3'
_cell_length_a 6.7225
_cell_length_b 6.7225
_cell_length_c 6.7225
_cell_angle_alpha 90.00
_cell_angle_beta 90.00
_cell_angle_gamma 90.00
loop_
_atom_site_label
_atom_site_fract_x
_atom_site_fract_y
_atom_site_fract_z
_atom_site_occupancy
Pr1 0.0000 0.0000 0.0000 1
Cu1 0.2500 0.2500 0.2500 1
Au1 0.0000 0.0000 0.5000 1
# Crystal system ... cubic



# PBE PrCu5Au, optimized geometry
data_PrCu5Au
_space_group_name_H-M_alt 'P n m a'
_space_group_IT_number 62
_cell_length_a 8.2754
_cell_length_b 5.1387
_cell_length_c 10.3927
_cell_angle_alpha 90.00
_cell_angle_beta 90.00
_cell_angle_gamma 90.00
loop_
_space_group_symop_operation_xyz
'x,y,z'
'-x,-y,-z'
'-x+1/2,-y,z+1/2'
'x+1/2,y,-z+1/2'
'x+1/2,-y+1/2,-z+1/2'
'-x+1/2,y+1/2,z+1/2'
'-x,y+1/2,-z'
'x,-y+1/2,z'
loop_
_atom_site_label
_atom_site_fract_x
_atom_site_fract_y
_atom_site_fract_z
_atom_site_occupancy
Pr1 0.2398 0.2500 0.0630 1
Cu1 0.0588 0.7500 0.1076 1
Cu2 0.0661 0.0008 0.3135 1
Cu3 0.0902 0.2500 0.5172 1
Cu4 0.1844 0.2500 0.7486 1
Au1 0.1413 0.7500 0.8613 1
# Crystal system ... orthorhombic



# PBE Pr12CuAu6, optimized geometry
data_Pr12CuAu6
_space_group_name_H-M_alt 'R -3'
_space_group_IT_number 148
_space_group_name_Hall '-R 3'
_cell_length_a 13.2826
_cell_length_b 13.2826
_cell_length_c 12.4115
_cell_angle_alpha 90.00
_cell_angle_beta 90.00
_cell_angle_gamma 120.00
loop_
_atom_site_label
_atom_site_fract_x
_atom_site_fract_y
_atom_site_fract_z
_atom_site_occupancy
Pr1 0.0296 0.8173 0.3943 1
Pr2 0.0460 0.8413 0.8853 1
Cu1 0.0000 0.0000 0.0000 1
Au1 0.0477 0.7785 0.6456 1
# Crystal system ... trigonal



no.,D(E_F) (states/eV per cell),uncorrected energy (Ry per atom)
1,6.34,-0.3210
2,6.99,-0.2848
3,22.23,-0.3438
4,6.86,-0.3496
5,23.04,-0.3474
6,32.65,-0.3302
7,19.49,-0.3399
8,4.10,-0.2780
9,15.66,-0.3074
10,9.76,-0.3164
11,11.60,-0.3176
12,72.81,-0.3392